Here is LiSc2Hg after structural relaxation from the Alexandria database. Energies are from PBE.

Output
As for the density of states at the Fermi level: 5.0 states/eV/f.u. The space-group type is No. 6. As for the formation energy: -139 meV per atom. The crystal system is monoclinic.

a = 4.6728 Å, b = 3.2528 Å, c = 5.8562 Å
α = 74.09°, β = 90.00°, γ = 90.00°
Positions (direct):
Hg 0.0000 0.6891 0.4930
Li 0.5000 0.5599 0.7602
Sc 0.0000 0.9612 0.9535
Sc 0.5000 0.2898 0.2932

Here is LiScHg3 after structural relaxation from the Alexandria database. Energies are from PBE.

Output
As for the density of states at the Fermi level: 2.8 states/eV/f.u. The space-group type is No. 12. The distance to the lowest polymorph of the same formula comes out at 6 kJ/mol of formula units. As for the formation energy: -264 meV per atom. The crystal system is monoclinic.

a = 6.0917 Å, b = 4.8859 Å, c = 8.8589 Å
α = 106.01°, β = 121.81°, γ = 90.00°
Positions (direct):
Li 0.6032 0.2063 0.4126
Li 0.3968 0.7937 0.5874
Sc 0.2214 0.3972 0.7945
Sc 0.7786 0.6028 0.2055
Hg 0.7272 0.9908 0.9817
Hg 0.2728 0.0092 0.0183
Hg 0.2882 0.6129 0.2258
Hg 0.7118 0.3871 0.7742
Hg 0.8931 0.7959 0.5918
Hg 0.1069 0.2041 0.4082

Here is Li2Sc2Hg after structural relaxation from the Alexandria database. Energies are from PBE.

Output
As for the density of states at the Fermi level: 5.1 states/eV/f.u. The space-group type is No. 127. The distance to the lowest polymorph of the same formula comes out at 99 kJ/mol of formula units. As for the formation energy: 186 meV per atom. The crystal system is tetragonal.

a = 7.8131 Å, b = 7.8131 Å, c = 3.6222 Å
α = 90.00°, β = 90.00°, γ = 90.00°
Each line ends with the local moment (μB).
Positions (direct):
Sc 0.3548 0.8548 0.0000  0.35
Sc 0.8548 0.6452 0.0000  0.35
Sc 0.6452 0.1452 0.0000  0.35
Sc 0.1452 0.3548 0.0000  0.35
Hg 0.0000 0.0000 0.0000  0.01
Hg 0.5000 0.5000 0.0000  0.01
Li 0.1516 0.6516 0.5000  0.03
Li 0.6516 0.8484 0.5000  0.02
Li 0.8484 0.3484 0.5000  0.03
Li 0.3484 0.1516 0.5000  0.02

Here is LiSc6Hg5 after structural relaxation from the Alexandria database. Energies are from PBE.

Output
As for the density of states at the Fermi level: 10.7 states/eV/f.u. The space-group type is No. 71. As for the formation energy: -371 meV per atom. The crystal system is orthorhombic.

a = 4.9203 Å, b = 7.0545 Å, c = 8.6172 Å
α = 114.16°, β = 106.59°, γ = 90.00°
Positions (direct):
Sc 0.8320 0.5834 0.6641
Sc 0.8320 0.0806 0.6641
Sc 0.5000 0.7455 0.0000
Sc 0.5000 0.2545 0.0000
Sc 0.1680 0.9194 0.3359
Sc 0.1680 0.4166 0.3359
Hg 0.6521 0.1521 0.3041
Hg 0.3320 0.3320 0.6641
Hg 0.0000 0.5000 0.0000
Hg 0.6680 0.6680 0.3359
Hg 0.3479 0.8479 0.6959
Li 0.0000 0.0000 0.0000

no.,DFT total energy (eV/atom)
1,-3.859
2,-2.094
3,-3.172
4,-3.822